The following is a DFT calculation (PBE-GGA) of crystalline YHoTcNi at its relaxed geometry.

Properties
E   -6.906 eV/atom
Spin magnetization   0.00 μB per cell
Space group   No. 216
Formation energy   -0.11 eV/atom
Crystal system   cubic

Structure (CIF):
```
data_YHoTcNi
_cell_length_a 4.806
_cell_length_b 4.806
_cell_length_c 4.806
_cell_angle_alpha 60.00
_cell_angle_beta 60.00
_cell_angle_gamma 60.00
_symmetry_space_group_name_H-M 'P 1'
_symmetry_Int_Tables_number 1
loop_
_symmetry_equiv_pos_as_xyz
'x,y,z'
loop_
_atom_site_label
_atom_site_type_symbol
_atom_site_fract_x
_atom_site_fract_y
_atom_site_fract_z
Tc1 Tc 0.500 0.500 0.500
Y1 Y 0.750 0.750 0.750
Ni1 Ni 0.000 0.000 0.000
Ho1 Ho 0.250 0.250 0.250
```

=====

The following is a DFT calculation (PBE-GGA) of crystalline Ho5Ni2Te at its relaxed geometry.

Properties
E   -5.272 eV/atom
Spin magnetization   0.00 μB per cell
Space group   No. 140
ΔE_f (raw)   -0.573 eV/atom
Crystal system   tetragonal

Structure (CIF):
```
data_Ho5Ni2Te
_cell_length_a 7.632
_cell_length_b 7.632
_cell_length_c 8.541
_cell_angle_alpha 116.54
_cell_angle_beta 116.54
_cell_angle_gamma 90.00
_symmetry_space_group_name_H-M 'P 1'
_symmetry_Int_Tables_number 1
loop_
_symmetry_equiv_pos_as_xyz
'x,y,z'
loop_
_atom_site_label
_atom_site_type_symbol
_atom_site_fract_x
_atom_site_fract_y
_atom_site_fract_z
Ni1 Ni 0.366 0.866 0.000
Ni2 Ni 0.634 0.134 0.000
Ho1 Ho 0.791 0.981 0.271
Ho2 Ho 0.500 0.500 0.000
Ho3 Ho 0.019 0.519 0.729
Ho4 Ho 0.519 0.709 0.729
Ho5 Ho 0.209 0.019 0.729
Ho6 Ho 0.000 0.000 0.000
Ho7 Ho 0.481 0.291 0.271
Ho8 Ho 0.291 0.791 0.271
Ni3 Ni 0.134 0.366 0.000
Ho9 Ho 0.981 0.481 0.271
Te1 Te 0.250 0.250 0.500
Te2 Te 0.750 0.750 0.500
Ho10 Ho 0.709 0.209 0.729
Ni4 Ni 0.866 0.634 0.000
```

=====

The following is a DFT calculation (PBE-GGA) of crystalline Ho7Ni2Te2 at its relaxed geometry.

Properties
E   -5.212 eV/atom
Spin magnetization   0.00 μB per cell
Space group   No. 44
ΔE_f (raw)   -0.676 eV/atom
Crystal system   orthorhombic

Structure (CIF):
```
data_Ho7Ni2Te2
_cell_length_a 3.841
_cell_length_b 9.344
_cell_length_c 9.344
_cell_angle_alpha 61.60
_cell_angle_beta 78.14
_cell_angle_gamma 78.14
_symmetry_space_group_name_H-M 'P 1'
_symmetry_Int_Tables_number 1
loop_
_symmetry_equiv_pos_as_xyz
'x,y,z'
loop_
_atom_site_label
_atom_site_type_symbol
_atom_site_fract_x
_atom_site_fract_y
_atom_site_fract_z
Ho1 Ho 0.500 0.024 0.976
Ho2 Ho 0.367 0.738 0.527
Ho3 Ho 0.185 0.717 0.912
Te1 Te 0.000 0.759 0.241
Ho4 Ho 0.815 0.088 0.283
Ho5 Ho 0.147 0.106 0.601
Ni1 Ni 0.262 0.333 0.142
Ho6 Ho 0.633 0.473 0.262
Ho7 Ho 0.853 0.399 0.894
Te2 Te 0.500 0.360 0.640
Ni2 Ni 0.738 0.858 0.667
```

=====

The following is a DFT calculation (PBE-GGA) of crystalline Ho2NiTe at its relaxed geometry.

Properties
E   -5.312 eV/atom
Spin magnetization   0.00 μB per cell
Space group   No. 166
ΔE_f (raw)   -0.792 eV/atom
Crystal system   trigonal

Structure (CIF):
```
data_Ho2NiTe
_cell_length_a 4.023
_cell_length_b 4.023
_cell_length_c 7.594
_cell_angle_alpha 74.64
_cell_angle_beta 74.64
_cell_angle_gamma 60.00
_symmetry_space_group_name_H-M 'P 1'
_symmetry_Int_Tables_number 1
loop_
_symmetry_equiv_pos_as_xyz
'x,y,z'
loop_
_atom_site_label
_atom_site_type_symbol
_atom_site_fract_x
_atom_site_fract_y
_atom_site_fract_z
Ni1 Ni 0.000 0.000 0.000
Ho1 Ho 0.735 0.735 0.794
Te1 Te 0.500 0.500 0.500
Ho2 Ho 0.265 0.265 0.206
```